The following is a PBE calculation of a relaxed structure of TlTe2IrAuS, from the Open Quantum Materials Database.

Calculated values
Calculated total energy: -4.267 eV/atom
Mass density: 8.874 g/cm³
Total magnetization: 0.00 μB per atom

abc: 9.654 9.654 8.637
angles: 90.00 90.00 155.82
Element x y z (fractional)
Ir1 0.000 0.000 0.500
Tl1 0.251 0.749 0.750
Au1 0.361 0.639 0.250
S1 0.053 0.947 0.750
Au2 0.639 0.361 0.750
Te1 0.412 0.588 0.569
Te2 0.588 0.412 0.069
Te3 0.588 0.412 0.431
Tl2 0.749 0.251 0.250
Ir2 0.000 0.000 0.000
Te4 0.412 0.588 0.931
S2 0.947 0.053 0.250